Run 1
16
Lattice="6.9069 0.0000 0.0000 0.0000 6.9069 0.0000 0.0000 0.0000 9.8759" Properties=species:S:1:pos:R:3 comment="PBE WS2I, optimized geometry" space_group="I-42d, No. 122" dos_at_fermi_per_ev_cell=3.1 magmom_total_mub_per_fu=0.00 vol_a3_per_atom=29.4 pbc="T T T"
W 0.0000 0.0000 0.0000
W 0.0000 3.4535 2.4690
W 3.4535 0.0000 7.4069
W 3.4535 3.4535 4.9380
S 0.7178 1.7267 1.2345
S 1.7267 4.1712 3.7035
S 1.7267 6.1891 8.6414
S 2.7357 1.7267 6.1724
S 4.1712 5.1802 6.1724
S 5.1802 0.7178 8.6414
S 5.1802 2.7357 3.7035
S 6.1891 5.1802 1.2345
I 0.0000 0.0000 4.9380
I 0.0000 3.4535 7.4069
I 3.4535 0.0000 2.4690
I 3.4535 3.4535 0.0000

Run 2
12
Lattice="3.2744 0.0000 0.0000 -1.6372 2.8357 0.0000 0.0000 0.0000 35.2919" Properties=species:S:1:pos:R:3 comment="PBE WS2I, optimized geometry" space_group="R-3m, No. 166" dos_at_fermi_per_ev_cell=8.6 magmom_total_mub_per_fu=0.00 vol_a3_per_atom=27.3 pbc="T T T"
W 0.0000 0.0000 0.0000
W 0.0000 1.8905 23.5280
W 1.6372 0.9452 11.7640
S 0.0000 0.0000 13.3093
S 0.0000 0.0000 21.9827
S 0.0000 1.8905 1.5453
S 0.0000 1.8905 10.2187
S 1.6372 0.9452 25.0732
S 1.6372 0.9452 33.7466
I 0.0000 0.0000 17.6460
I 0.0000 1.8905 5.8820
I 1.6372 0.9452 29.4099

Stability ranking, top and bottom: run 2 is the most stable and run 1 is the least stable.

Run 1
16
Lattice="7.2306 0.0000 0.0000 0.0000 7.2306 0.0000 0.0000 0.0000 7.2306" Properties=species:S:1:pos:R:3 comment="PBE Y2SI, optimized geometry" space_group="Fm-3m, No. 225" dos_at_fermi_per_ev_cell=11.6 magmom_total_mub_per_fu=0.00 vol_a3_per_atom=23.6 pbc="T T T"
Y 1.8076 1.8076 1.8076
Y 1.8076 1.8076 5.4229
Y 1.8076 5.4229 1.8076
Y 1.8076 5.4229 5.4229
Y 5.4229 1.8076 1.8076
Y 5.4229 1.8076 5.4229
Y 5.4229 5.4229 1.8076
Y 5.4229 5.4229 5.4229
S 0.0000 0.0000 0.0000
S 0.0000 3.6153 3.6153
S 3.6153 0.0000 3.6153
S 3.6153 3.6153 0.0000
I 0.0000 0.0000 3.6153
I 0.0000 3.6153 0.0000
I 3.6153 0.0000 0.0000
I 3.6153 3.6153 3.6153

Run 2
12
Lattice="3.9131 0.0000 0.0000 -1.9566 3.3889 0.0000 0.0000 0.0000 23.2069" Properties=species:S:1:pos:R:3 comment="PBE Y2SI, optimized geometry" space_group="R3m, No. 160" dos_at_fermi_per_ev_cell=9.0 magmom_total_mub_per_fu=0.00 vol_a3_per_atom=25.6 pbc="T T T"
Y 0.0000 0.0000 0.0000
Y 0.0000 0.0000 4.7289
Y 0.0000 2.2592 15.4712
Y 0.0000 2.2592 20.2001
Y 1.9566 1.1296 7.7356
Y 1.9566 1.1296 12.4645
S 0.0000 0.0000 13.9616
S 0.0000 2.2592 6.2260
S 1.9566 1.1296 21.6972
I 0.0000 0.0000 10.0585
I 0.0000 2.2592 2.3229
I 1.9566 1.1296 17.7942

Stability ranking, top and bottom: run 2 is the most stable and run 1 is the least stable.

Run 1
5
Lattice="5.2768 0.0000 0.0000 0.0000 5.2768 0.0000 0.0000 0.0000 5.2768" Properties=species:S:1:pos:R:3 comment="PBE YS3I, optimized geometry" space_group="Pm-3m, No. 221" dos_at_fermi_per_ev_cell=9.4 magmom_total_mub_per_fu=0.00 vol_a3_per_atom=29.4 pbc="T T T"
Y 0.0000 0.0000 0.0000
S 0.0000 0.0000 2.6384
S 0.0000 2.6384 0.0000
S 2.6384 0.0000 0.0000
I 2.6384 2.6384 2.6384

Run 2
5
Lattice="5.0788 0.0000 0.0000 0.0000 5.0788 0.0000 0.0000 0.0000 5.0788" Properties=species:S:1:pos:R:3 comment="PBE YS3I, optimized geometry" space_group="Pm-3m, No. 221" dos_at_fermi_per_ev_cell=2.1 magmom_total_mub_per_fu=0.00 vol_a3_per_atom=26.2 pbc="T T T"
Y 0.0000 0.0000 0.0000
S 0.0000 2.5394 2.5394
S 2.5394 0.0000 2.5394
S 2.5394 2.5394 0.0000
I 2.5394 2.5394 2.5394

Stability ranking, top and bottom: run 1 is the most stable and run 2 is the least stable.

Run 1
5
Lattice="5.5545 0.0000 0.0000 0.0000 5.5545 0.0000 0.0000 0.0000 5.5545" Properties=species:S:1:pos:R:3 comment="PBE YSI3, optimized geometry" space_group="Pm-3m, No. 221" dos_at_fermi_per_ev_cell=5.4 magmom_total_mub_per_fu=0.95 vol_a3_per_atom=34.3 pbc="T T T"
Y 0.0000 0.0000 0.0000
S 2.7773 2.7773 2.7773
I 0.0000 2.7773 2.7773
I 2.7773 0.0000 2.7773
I 2.7773 2.7773 0.0000

Run 2
5
Lattice="6.0175 0.0000 0.0000 0.0000 6.0175 0.0000 0.0000 0.0000 6.0175" Properties=species:S:1:pos:R:3 comment="PBE YSI3, optimized geometry" space_group="Pm-3m, No. 221" dos_at_fermi_per_ev_cell=5.9 magmom_total_mub_per_fu=2.00 vol_a3_per_atom=43.6 pbc="T T T"
Y 0.0000 0.0000 0.0000
S 3.0087 3.0087 3.0087
I 0.0000 0.0000 3.0087
I 0.0000 3.0087 0.0000
I 3.0087 0.0000 0.0000

Stability ranking, top and bottom: run 2 is the most stable and run 1 is the least stable.

Run 1
16
Lattice="6.6087 0.0000 0.0000 0.0000 6.6087 0.0000 0.0000 0.0000 9.4829" Properties=species:S:1:pos:R:3 comment="PBE ZnS2I, optimized geometry" space_group="I-42d, No. 122" dos_at_fermi_per_ev_cell=19.7 magmom_total_mub_per_fu=0.00 vol_a3_per_atom=25.9 pbc="T T T"
Zn 0.0000 0.0000 0.0000
Zn 0.0000 3.3044 2.3707
Zn 3.3044 0.0000 7.1121
Zn 3.3044 3.3044 4.7414
S 1.1754 1.6522 1.1854
S 1.6522 4.4798 3.5561
S 1.6522 5.4333 8.2975
S 2.1289 1.6522 5.9268
S 4.4798 4.9566 5.9268
S 4.9566 1.1754 8.2975
S 4.9566 2.1289 3.5561
S 5.4333 4.9566 1.1854
I 0.0000 0.0000 4.7414
I 0.0000 3.3044 7.1121
I 3.3044 0.0000 2.3707
I 3.3044 3.3044 0.0000

Run 2
16
Lattice="6.8650 0.0000 0.0000 0.0000 6.8650 0.0000 0.0000 0.0000 6.8650" Properties=species:S:1:pos:R:3 comment="PBE ZnS2I, optimized geometry" space_group="Fm-3m, No. 225" dos_at_fermi_per_ev_cell=12.4 magmom_total_mub_per_fu=0.00 vol_a3_per_atom=20.2 pbc="T T T"
Zn 0.0000 0.0000 0.0000
Zn 0.0000 3.4325 3.4325
Zn 3.4325 0.0000 3.4325
Zn 3.4325 3.4325 0.0000
S 1.7162 1.7162 1.7162
S 1.7162 1.7162 5.1487
S 1.7162 5.1487 1.7162
S 1.7162 5.1487 5.1487
S 5.1487 1.7162 1.7162
S 5.1487 1.7162 5.1487
S 5.1487 5.1487 1.7162
S 5.1487 5.1487 5.1487
I 0.0000 0.0000 3.4325
I 0.0000 3.4325 0.0000
I 3.4325 0.0000 0.0000
I 3.4325 3.4325 3.4325

Run 3
12
Lattice="3.9022 0.0000 0.0000 -1.9511 3.3794 0.0000 0.0000 0.0000 25.4329" Properties=species:S:1:pos:R:3 comment="PBE ZnS2I, optimized geometry" space_group="R-3m, No. 166" dos_at_fermi_per_ev_cell=8.9 magmom_total_mub_per_fu=0.00 vol_a3_per_atom=27.9 pbc="T T T"
Zn 0.0000 0.0000 0.0000
Zn 0.0000 2.2529 16.9553
Zn 1.9511 1.1265 8.4776
S 0.0000 0.0000 2.1602
S 0.0000 0.0000 23.2727
S 0.0000 2.2529 14.7951
S 0.0000 2.2529 19.1154
S 1.9511 1.1265 6.3175
S 1.9511 1.1265 10.6378
I 0.0000 0.0000 12.7164
I 0.0000 2.2529 4.2388
I 1.9511 1.1265 21.1941

Stability ranking, top and bottom: run 1 is the most stable and run 2 is the least stable.

Run 1
5
Lattice="5.0210 0.0000 0.0000 0.0000 5.0210 0.0000 0.0000 0.0000 5.0210" Properties=species:S:1:pos:R:3 comment="PBE Zn3SI, optimized geometry" space_group="Pm-3m, No. 221" dos_at_fermi_per_ev_cell=2.1 magmom_total_mub_per_fu=0.00 vol_a3_per_atom=25.3 pbc="T T T"
Zn 0.0000 0.0000 2.5105
Zn 0.0000 2.5105 0.0000
Zn 2.5105 0.0000 0.0000
S 0.0000 0.0000 0.0000
I 2.5105 2.5105 2.5105

Run 2
5
Lattice="5.3871 0.0000 0.0000 0.0000 5.3871 0.0000 0.0000 0.0000 5.3871" Properties=species:S:1:pos:R:3 comment="PBE Zn3SI, optimized geometry" space_group="Pm-3m, No. 221" dos_at_fermi_per_ev_cell=3.7 magmom_total_mub_per_fu=0.00 vol_a3_per_atom=31.3 pbc="T T T"
Zn 0.0000 0.0000 2.6936
Zn 0.0000 2.6936 0.0000
Zn 2.6936 0.0000 0.0000
S 2.6936 2.6936 2.6936
I 0.0000 0.0000 0.0000

Stability ranking, top and bottom: run 1 is the most stable and run 2 is the least stable.

Run 1
5
Lattice="4.7244 0.0000 0.0000 0.0000 4.7244 0.0000 0.0000 0.0000 4.7244" Properties=species:S:1:pos:R:3 comment="PBE ZnS3I, optimized geometry" space_group="Pm-3m, No. 221" dos_at_fermi_per_ev_cell=4.8 magmom_total_mub_per_fu=0.00 vol_a3_per_atom=21.1 pbc="T T T"
Zn 0.0000 0.0000 0.0000
S 0.0000 0.0000 2.3622
S 0.0000 2.3622 0.0000
S 2.3622 0.0000 0.0000
I 2.3622 2.3622 2.3622

Run 2
5
Lattice="4.0759 0.0000 0.0000 0.4996 4.8136 0.0000 0.4947 1.6790 7.9114" Properties=species:S:1:pos:R:3 comment="PBE ZnS3I, optimized geometry" space_group="P1, No. 1" dos_at_fermi_per_ev_cell=2.6 magmom_total_mub_per_fu=0.00 vol_a3_per_atom=31.0 pbc="T T T"
Zn 0.0000 0.0000 0.0000
S 0.6055 2.9773 5.8933
S 3.0597 5.1742 7.7342
S 3.1901 4.2931 5.8481
I 0.2282 0.8558 2.3681

Stability ranking, top and bottom: run 2 is the most stable and run 1 is the least stable.

Run 1
5
Lattice="5.7186 0.0000 0.0000 0.0000 5.7186 0.0000 0.0000 0.0000 5.7186" Properties=species:S:1:pos:R:3 comment="PBE ZrSI3, optimized geometry" space_group="Pm-3m, No. 221" dos_at_fermi_per_ev_cell=11.7 magmom_total_mub_per_fu=1.10 vol_a3_per_atom=37.4 pbc="T T T"
Zr 0.0000 0.0000 0.0000
S 2.8593 2.8593 2.8593
I 0.0000 0.0000 2.8593
I 0.0000 2.8593 0.0000
I 2.8593 0.0000 0.0000

Run 2
5
Lattice="5.5145 0.0000 0.0000 0.0000 5.5145 0.0000 0.0000 0.0000 5.5145" Properties=species:S:1:pos:R:3 comment="PBE ZrSI3, optimized geometry" space_group="Pm-3m, No. 221" dos_at_fermi_per_ev_cell=6.4 magmom_total_mub_per_fu=2.48 vol_a3_per_atom=33.5 pbc="T T T"
Zr 0.0000 0.0000 0.0000
S 2.7572 2.7572 2.7572
I 0.0000 2.7572 2.7572
I 2.7572 0.0000 2.7572
I 2.7572 2.7572 0.0000

Run 3
20
Lattice="4.0194 -7.8489 0.0000 4.0194 7.8489 0.0000 -2.1081 0.0000 14.0763" Properties=species:S:1:pos:R:3 comment="PBE ZrSI3, optimized geometry" space_group="C2/c, No. 15" magmom_total_mub_per_fu=0.00 vol_a3_per_atom=44.4 pbc="T T T"
Zr 0.3727 0.9502 2.0505
Zr -0.6813 -0.9502 9.0886
Zr 6.6121 0.9502 4.9877
Zr 5.5581 -0.9502 12.0259
S 1.6113 5.2145 9.9399
S 3.2655 5.2145 11.1745
S 2.6653 -5.2145 2.9018
S 4.3196 -5.2145 4.1364
I 0.0261 1.4969 7.5126
I 0.1785 0.7236 11.2965
I 2.6247 2.2818 1.2567
I 1.0801 -1.4969 0.4744
I 1.2326 -0.7236 4.2583
I 1.5707 -2.2818 8.2949
I 4.3601 2.2818 5.7814
I 4.6982 0.7236 9.8180
I 4.8507 1.4969 13.6019
I 3.3061 -2.2818 12.8196
I 5.7523 -0.7236 2.7799
I 5.9047 -1.4969 6.5637

Stability ranking, top and bottom: run 3 is the most stable and run 2 is the least stable.

Run 1
16
Lattice="4.4176 0.0000 0.0000 0.0000 4.4176 0.0000 0.0000 0.0000 24.2841" Properties=species:S:1:pos:R:3 comment="PBE ScSb2I, optimized geometry" space_group="I-42d, No. 122" dos_at_fermi_per_ev_cell=11.7 magmom_total_mub_per_fu=0.00 vol_a3_per_atom=29.6 pbc="T T T"
Sc 0.0000 0.0000 0.0000
Sc 0.0000 2.2088 6.0710
Sc 2.2088 0.0000 18.2131
Sc 2.2088 2.2088 12.1421
Sb 0.9109 1.1044 3.0355
Sb 1.1044 3.1197 9.1065
Sb 1.1044 3.5067 21.2486
Sb 1.2979 1.1044 15.1776
Sb 3.1197 3.3132 15.1776
Sb 3.3132 0.9109 21.2486
Sb 3.3132 1.2979 9.1065
Sb 3.5067 3.3132 3.0355
I 0.0000 0.0000 12.1421
I 0.0000 2.2088 18.2131
I 2.2088 0.0000 6.0710
I 2.2088 2.2088 0.0000

Run 2
16
Lattice="7.6227 0.0000 0.0000 0.0000 7.6227 0.0000 0.0000 0.0000 7.6227" Properties=species:S:1:pos:R:3 comment="PBE ScSb2I, optimized geometry" space_group="Fm-3m, No. 225" dos_at_fermi_per_ev_cell=28.0 magmom_total_mub_per_fu=0.00 vol_a3_per_atom=27.7 pbc="T T T"
Sc 0.0000 0.0000 0.0000
Sc 0.0000 3.8114 3.8114
Sc 3.8114 0.0000 3.8114
Sc 3.8114 3.8114 0.0000
Sb 1.9057 1.9057 1.9057
Sb 1.9057 1.9057 5.7170
Sb 1.9057 5.7170 1.9057
Sb 1.9057 5.7170 5.7170
Sb 5.7170 1.9057 1.9057
Sb 5.7170 1.9057 5.7170
Sb 5.7170 5.7170 1.9057
Sb 5.7170 5.7170 5.7170
I 0.0000 0.0000 3.8114
I 0.0000 3.8114 0.0000
I 3.8114 0.0000 0.0000
I 3.8114 3.8114 3.8114

Stability ranking, top and bottom: run 1 is the most stable and run 2 is the least stable.

Run 1
10
Lattice="3.9918 0.0000 0.0000 0.0000 3.9918 0.0000 0.0000 0.0000 24.8186" Properties=species:S:1:pos:R:3 comment="PBE ScSb2I2, optimized geometry" space_group="I4/mmm, No. 139" dos_at_fermi_per_ev_cell=8.7 magmom_total_mub_per_fu=0.88 vol_a3_per_atom=39.5 pbc="T T T"
Sc 0.0000 0.0000 0.0000
Sc 1.9959 1.9959 12.4093
Sb 0.0000 1.9959 6.2046
Sb 0.0000 1.9959 18.6139
Sb 1.9959 0.0000 6.2046
Sb 1.9959 0.0000 18.6139
I 0.0000 0.0000 10.6289
I 0.0000 0.0000 14.1897
I 1.9959 1.9959 1.7804
I 1.9959 1.9959 23.0382

Run 2
10
Lattice="7.7314 0.0000 0.0000 0.0000 7.7314 0.0000 0.0000 0.0000 7.4360" Properties=species:S:1:pos:R:3 comment="PBE ScSb2I2, optimized geometry" space_group="P4/mbm, No. 127" dos_at_fermi_per_ev_cell=8.4 magmom_total_mub_per_fu=0.67 vol_a3_per_atom=44.4 pbc="T T T"
Sc 0.0000 0.0000 0.0000
Sc 3.8657 3.8657 0.0000
Sb 0.9120 2.9537 3.7180
Sb 2.9537 6.8194 3.7180
Sb 4.7776 0.9120 3.7180
Sb 6.8194 4.7776 3.7180
I 1.4356 5.3013 0.0000
I 2.4301 1.4356 0.0000
I 5.3013 6.2958 0.0000
I 6.2958 2.4301 0.0000

Stability ranking, top and bottom: run 1 is the most stable and run 2 is the least stable.

Run 1
5
Lattice="5.5112 0.0000 0.0000 0.0000 5.5112 0.0000 0.0000 0.0000 5.8898" Properties=species:S:1:pos:R:3 comment="PBE ScSiSbI2, optimized geometry" space_group="P4/mmm, No. 123" dos_at_fermi_per_ev_cell=4.4 magmom_total_mub_per_fu=0.34 vol_a3_per_atom=35.8 pbc="T T T"
Sc 0.0000 0.0000 0.0000
Si 2.7556 2.7556 2.9449
Sb 0.0000 0.0000 2.9449
I 0.0000 2.7556 0.0000
I 2.7556 0.0000 0.0000

Run 2
5
Lattice="5.3668 0.0000 0.0000 0.0000 5.3668 0.0000 0.0000 0.0000 5.4973" Properties=species:S:1:pos:R:3 comment="PBE ScSiSbI2, optimized geometry" space_group="P4/mmm, No. 123" dos_at_fermi_per_ev_cell=2.8 magmom_total_mub_per_fu=0.41 vol_a3_per_atom=31.7 pbc="T T T"
Sc 0.0000 0.0000 0.0000
Si 2.6834 2.6834 2.7487
Sb 2.6834 2.6834 0.0000
I 0.0000 2.6834 2.7487
I 2.6834 0.0000 2.7487

Stability ranking, top and bottom: run 1 is the most stable and run 2 is the least stable.

Run 1
5
Lattice="5.6248 0.0000 0.0000 0.0000 5.6248 0.0000 0.0000 0.0000 5.7730" Properties=species:S:1:pos:R:3 comment="PBE ScSnSb2I, optimized geometry" space_group="P4/mmm, No. 123" dos_at_fermi_per_ev_cell=3.9 magmom_total_mub_per_fu=0.00 vol_a3_per_atom=36.5 pbc="T T T"
Sc 0.0000 0.0000 0.0000
Sn 2.8124 2.8124 2.8865
Sb 0.0000 2.8124 2.8865
Sb 2.8124 0.0000 2.8865
I 2.8124 2.8124 0.0000

Run 2
5
Lattice="5.5846 0.0000 0.0000 0.0000 5.5846 0.0000 0.0000 0.0000 5.5538" Properties=species:S:1:pos:R:3 comment="PBE ScSnSb2I, optimized geometry" space_group="P4/mmm, No. 123" dos_at_fermi_per_ev_cell=5.7 magmom_total_mub_per_fu=0.00 vol_a3_per_atom=34.6 pbc="T T T"
Sc 0.0000 0.0000 0.0000
Sn 2.7923 2.7923 2.7769
Sb 0.0000 2.7923 0.0000
Sb 2.7923 0.0000 0.0000
I 0.0000 0.0000 2.7769

Stability ranking, top and bottom: run 2 is the most stable and run 1 is the least stable.

Run 1
5
Lattice="5.4683 0.0000 0.0000 0.0000 5.4683 0.0000 0.0000 0.0000 5.8335" Properties=species:S:1:pos:R:3 comment="PBE YScSbI2, optimized geometry" space_group="P4/mmm, No. 123" dos_at_fermi_per_ev_cell=3.6 magmom_total_mub_per_fu=0.00 vol_a3_per_atom=34.9 pbc="T T T"
Y 0.0000 0.0000 0.0000
Sc 2.7341 2.7341 2.9168
Sb 2.7341 2.7341 0.0000
I 0.0000 2.7341 2.9168
I 2.7341 0.0000 2.9168

Run 2
5
Lattice="5.7879 0.0000 0.0000 0.0000 5.7879 0.0000 0.0000 0.0000 6.1463" Properties=species:S:1:pos:R:3 comment="PBE YScSbI2, optimized geometry" space_group="P4/mmm, No. 123" dos_at_fermi_per_ev_cell=3.2 magmom_total_mub_per_fu=1.00 vol_a3_per_atom=41.2 pbc="T T T"
Y 0.0000 0.0000 0.0000
Sc 2.8939 2.8939 3.0732
Sb 0.0000 0.0000 3.0732
I 0.0000 2.8939 0.0000
I 2.8939 0.0000 0.0000

Stability ranking, top and bottom: run 1 is the most stable and run 2 is the least stable.